1.
Entry from the Alexandria database: an optimized crystal structure of Th2AlZn3Au4 (PBE-GGA).

Cell lengths 4.4067, 4.4067, 10.5419 Å; angles 90.00, 90.00, 90.00 degrees
Sites, in units of the cell vectors:
Th  0.0000  0.5000  0.2446
Th  0.5000  0.0000  0.7554
Al  0.0000  0.0000  0.5000
Zn  0.0000  0.5000  0.8671
Zn  0.5000  0.0000  0.1329
Zn  0.5000  0.5000  0.5000
Au  0.0000  0.0000  0.0000
Au  0.0000  0.5000  0.6299
Au  0.5000  0.0000  0.3701
Au  0.5000  0.5000  0.0000

Summary:
* symmetry: No. 115
* size of the total moment: 0.00 Bohr magnetons per cell
* electronic total energy: -40.5 eV for the cell shown
* E_form: -494.0 meV/atom
* N(E_F): 8.65 states/eV per cell

2.
Entry from the Alexandria database: an optimized crystal structure of Y4CoBr (PBE-GGA).

Cell lengths 6.3548, 6.3548, 6.3548 Å; angles 60.00, 60.00, 60.00 degrees
Sites, in units of the cell vectors:
Y  0.3768  0.3768  0.3768
Y  0.3768  0.3768  0.8697
Y  0.3768  0.8697  0.3768
Y  0.8697  0.3768  0.3768
Co  0.7500  0.7500  0.7500
Br  0.0000  0.0000  0.0000

Summary:
* symmetry: No. 216
* size of the total moment: 1.76 Bohr magnetons per cell
* electronic total energy: -30.3 eV for the cell shown
* N(E_F): 9.27 states/eV per cell

3.
Entry from the Alexandria database: an optimized crystal structure of PuV5 (PBE-GGA).

Cell lengths 6.8088, 6.8088, 3.0624 Å; angles 90.00, 90.00, 142.46 degrees
Sites, in units of the cell vectors:
Pu  0.0000  0.0000  0.0000
V  0.1675  0.8325  0.5000
V  0.3254  0.6746  0.0000
V  0.5000  0.5000  0.5000
V  0.6746  0.3254  0.0000
V  0.8325  0.1675  0.5000

Summary:
* symmetry: No. 65
* size of the total moment: 2.97 Bohr magnetons per cell
* electronic total energy: -59.1 eV for the cell shown
* E_form: 143.0 meV/atom
* N(E_F): 9.77 states/eV per cell

Question: Which formula does entry 2 have?
Answer: Y4CoBr

What did the third record say?
Entry from the Alexandria database: an optimized crystal structure of PuV5 (PBE-GGA).

Cell lengths 6.8088, 6.8088, 3.0624 Å; angles 90.00, 90.00, 142.46 degrees
Sites, in units of the cell vectors:
Pu  0.0000  0.0000  0.0000
V  0.1675  0.8325  0.5000
V  0.3254  0.6746  0.0000
V  0.5000  0.5000  0.5000
V  0.6746  0.3254  0.0000
V  0.8325  0.1675  0.5000

Summary:
* symmetry: No. 65
* size of the total moment: 2.97 Bohr magnetons per cell
* electronic total energy: -59.1 eV for the cell shown
* E_form: 143.0 meV/atom
* N(E_F): 9.77 states/eV per cell